Entry 1:
First-principles (PBE) data for a relaxed structure of KHgRh, as listed in Alexandria via LeMat-Bulk.

abc: 4.549 4.549 4.927
angles: 90.00 90.00 120.00
Element x y z (fractional)
K 0.000 0.000 0.000
Hg 0.333 0.667 0.500
Rh 0.667 0.333 0.500

E_tot (eV/cell): -7.83
Density (g/cm³): 6.44
Total moment (μB per formula unit): 0.02
Relative energy among the computed polymorphs (eV per formula unit): 0.353
Space-group type: P-6m2
Calculated formation energy (eV/atom): 0.31



Entry 2:
First-principles (PBE) data for a relaxed structure of RbNbPd2Br, as listed in Alexandria via LeMat-Bulk.

abc: 4.315 8.985 8.985
angles: 21.50 90.00 90.00
Element x y z (fractional)
Rb 0.000 0.000 0.000
Nb 0.500 0.241 0.241
Pd 0.000 0.715 0.715
Pd 0.500 0.624 0.624
Br 0.500 0.388 0.388

E_tot (eV/cell): -23.87
Density (g/cm³): 6.13
Total moment (μB per formula unit): 0.00
Relative energy among the computed polymorphs (eV per formula unit): 0.680
Space-group type: Amm2



Entry 3:
First-principles (PBE) data for a relaxed structure of BaSnSe2N, as listed in Alexandria via LeMat-Bulk.

abc: 5.500 5.500 4.256
angles: 90.00 90.00 90.00
Element x y z (fractional)
Ba 0.000 0.000 0.000
Sn 0.500 0.500 0.500
Se 0.000 0.500 0.500
Se 0.500 0.000 0.500
N 0.500 0.500 0.000

E_tot (eV/cell): -23.05
Density (g/cm³): 5.52
Total moment (μB per formula unit): 1.25
Relative energy among the computed polymorphs (eV per formula unit): 0.000
Space-group type: P4/mmm



Entry 4:
First-principles (PBE) data for a relaxed structure of Tb2PrBi, as listed in Alexandria via LeMat-Bulk.

abc: 4.957 4.957 4.897
angles: 90.00 90.00 90.00
Element x y z (fractional)
Tb 0.000 0.500 0.000
Tb 0.500 0.000 0.000
Pr 0.000 0.000 0.500
Bi 0.500 0.500 0.500

E_tot (eV/cell): -19.46
Density (g/cm³): 9.21
Total moment (μB per formula unit): 0.00
Relative energy among the computed polymorphs (eV per formula unit): 0.111
Space-group type: P4/mmm
Calculated formation energy (eV/atom): -0.38



Entry 5:
First-principles (PBE) data for a relaxed structure of AcCoSi3Ir, as listed in Alexandria via LeMat-Bulk.

abc: 6.792 6.792 6.072
angles: 90.00 90.00 124.50
Element x y z (fractional)
Ac 0.238 0.762 0.750
Ac 0.762 0.238 0.250
Co 0.040 0.960 0.250
Co 0.960 0.040 0.750
Si 0.212 0.788 0.250
Si 0.272 0.272 0.000
Si 0.272 0.272 0.500
Si 0.728 0.728 0.000
Si 0.728 0.728 0.500
Si 0.788 0.212 0.750
Ir 0.398 0.602 0.250
Ir 0.602 0.398 0.750

E_tot (eV/cell): -79.04
Density (g/cm³): 8.09
Total moment (μB per formula unit): 0.00
Space-group type: Cmcm



Entry 6:
First-principles (PBE) data for a relaxed structure of BePbSe2, as listed in Alexandria via LeMat-Bulk.

abc: 7.075 7.075 4.237
angles: 95.90 95.90 28.92
Element x y z (fractional)
Be 0.000 0.000 0.000
Pb 0.238 0.238 0.506
Se 0.401 0.401 0.054
Se 0.623 0.623 0.952

E_tot (eV/cell): -15.50
Density (g/cm³): 6.09
Total moment (μB per formula unit): 0.00
Relative energy among the computed polymorphs (eV per formula unit): 1.006
Space-group type: Cm



Entry 7:
First-principles (PBE) data for a relaxed structure of AlCoNi2, as listed in Alexandria via LeMat-Bulk.

abc: 4.385 4.385 4.224
angles: 102.91 102.91 35.34
Element x y z (fractional)
Al 0.000 0.000 0.000
Co 0.500 0.500 0.500
Ni 0.250 0.250 0.744
Ni 0.750 0.750 0.256

E_tot (eV/cell): -23.46
Density (g/cm³): 7.39
Total moment (μB per formula unit): 1.56
Space-group type: C2/m
Calculated formation energy (eV/atom): -0.26



Entry 8:
First-principles (PBE) data for a relaxed structure of HfSnRu2, as listed in Alexandria via LeMat-Bulk.

abc: 3.267 3.267 6.332
angles: 90.00 90.00 90.00
Element x y z (fractional)
Hf 0.000 0.000 0.000
Sn 0.000 0.000 0.500
Ru 0.500 0.500 0.250
Ru 0.500 0.500 0.750

E_tot (eV/cell): -34.60
Density (g/cm³): 12.27
Total moment (μB per formula unit): 0.00
Space-group type: P4/mmm
Calculated formation energy (eV/atom): -0.52